1.
Entry from the Alexandria database: an optimized crystal structure of LaNd2RuAu (PBE-GGA).

Properties
Calculated formation energy = -0.23 eV/atom
Fermi-level density of states = 4.52 states/eV per cell
Space group = P4mm

Lattice parameters (Å, degrees): 5.429 5.429 5.595 90.00 90.00 90.00
Sites, in units of the cell vectors:
La: 0.000 0.000 0.470
Nd: 0.000 0.500 0.935
Nd: 0.500 0.000 0.935
Ru: 0.000 0.000 0.020
Au: 0.500 0.500 0.639

---

2.
Entry from the Alexandria database: an optimized crystal structure of Ag4Se (PBE-GGA).

Properties
Fermi-level density of states = 0.68 states/eV per cell
Formation energy from raw total energies = 1.53 eV/f.u.
Relative energy among the computed polymorphs = 0.278 eV/atom
Space group = Im-3m

Lattice parameters (Å, degrees): 5.371 5.371 5.371 109.47 109.47 109.47
Sites, in units of the cell vectors:
Ag: 0.500 0.000 0.000
Ag: 0.500 0.500 0.500
Ag: 0.000 0.500 0.000
Ag: 0.000 0.000 0.500
Se: 0.000 0.000 0.000

---

3.
Entry from the Alexandria database: an optimized crystal structure of GaTcTe2 (PBE-GGA).

Properties
Fermi-level density of states = 3.23 states/eV per cell
Formation energy from raw total energies = 2.87 eV/f.u.
Space group = R-3m

Lattice parameters (Å, degrees): 8.825 8.825 8.825 25.68 25.68 25.68
Each line ends with the local moment (μB).
Sites, in units of the cell vectors:
Te: 0.899 0.899 0.899  -0.04
Te: 0.101 0.101 0.101  -0.04
Tc: 0.000 0.000 0.000  2.50
Ga: 0.500 0.500 0.500  0.00

---

4.
Entry from the Alexandria database: an optimized crystal structure of TcIrOs2 (PBE-GGA).

Properties
Calculated formation energy = 1.19 eV/atom
Fermi-level density of states = 11.07 states/eV per cell
Relative energy among the computed polymorphs = 1.201 eV/atom
Space group = I-42d

Lattice parameters (Å, degrees): 5.509 5.509 6.886 66.42 66.42 90.00
Sites, in units of the cell vectors:
Ir: 0.000 0.000 0.000
Ir: 0.750 0.250 0.500
Os: 0.626 0.125 0.250
Os: 0.124 0.625 0.250
Os: 0.375 0.374 0.750
Os: 0.875 0.876 0.750
Tc: 0.500 0.500 0.000
Tc: 0.250 0.750 0.500

---

5.
Entry from the Alexandria database: an optimized crystal structure of MgScCr (PBE-GGA).

Properties
Calculated formation energy = 0.95 eV/atom
Fermi-level density of states = 2.92 states/eV per cell
Relative energy among the computed polymorphs = 0.705 eV/atom
Space group = F-43m

Lattice parameters (Å, degrees): 4.716 4.716 4.716 60.00 60.00 60.00
Each line ends with the local moment (μB).
Sites, in units of the cell vectors:
Cr: 0.000 0.000 0.000  3.49
Mg: 0.500 0.500 0.500  -0.06
Sc: 0.750 0.750 0.750  -0.14

---

6.
Entry from the Alexandria database: an optimized crystal structure of Re2AsSe2 (PBE-GGA).

Properties
Fermi-level density of states = 6.08 states/eV per cell
Formation energy from raw total energies = 3.55 eV/f.u.
Relative energy among the computed polymorphs = 0.036 eV/atom
Space group = I4/mmm

Lattice parameters (Å, degrees): 4.227 4.227 6.058 69.58 69.58 90.00
Sites, in units of the cell vectors:
Re: 0.385 0.385 0.229
Re: 0.615 0.615 0.771
As: 0.000 0.000 0.000
Se: 0.750 0.250 0.500
Se: 0.250 0.750 0.500